DFT (PBE) results for Te2AuCl after structural relaxation.

Geometry as CIF:
```
data_Te2AuCl
_chemical_formula_sum 'Te6 Au3 Cl3'
_space_group_name_H-M_alt 'P 1'
_space_group_IT_number 1
_cell_length_a 3.3209
_cell_length_b 3.3209
_cell_length_c 31.3178
_cell_angle_alpha 90.00
_cell_angle_beta 90.00
_cell_angle_gamma 120.00
loop_
_space_group_symop_operation_xyz
'x,y,z'
loop_
_atom_site_label
_atom_site_type_symbol
_atom_site_fract_x
_atom_site_fract_y
_atom_site_fract_z
Te1 Te 0.0000 0.0000 0.0856
Te2 Te 0.0000 0.0000 0.9144
Te3 Te 0.3333 0.6667 0.5811
Te4 Te 0.3333 0.6667 0.7523
Te5 Te 0.6667 0.3333 0.2477
Te6 Te 0.6667 0.3333 0.4189
Au1 Au 0.0000 0.0000 0.0000
Au2 Au 0.3333 0.6667 0.6667
Au3 Au 0.6667 0.3333 0.3333
Cl1 Cl 0.0000 0.0000 0.5000
Cl2 Cl 0.3333 0.6667 0.1667
Cl3 Cl 0.6667 0.3333 0.8333
```

Calculated total energy, eV per cell: -32.509
ΔE_f (raw), meV/atom: 143
Calculated density, g/cm³: 8.12

---

DFT (PBE) results for Tl2ReTe after structural relaxation.

Geometry as CIF:
```
data_Tl2ReTe
_chemical_formula_sum 'Tl4 Re2 Te2'
_space_group_name_H-M_alt 'P 1'
_space_group_IT_number 1
_cell_length_a 3.2223
_cell_length_b 4.4331
_cell_length_c 14.9412
_cell_angle_alpha 90.00
_cell_angle_beta 90.00
_cell_angle_gamma 90.00
loop_
_space_group_symop_operation_xyz
'x,y,z'
loop_
_atom_site_label
_atom_site_type_symbol
_atom_site_fract_x
_atom_site_fract_y
_atom_site_fract_z
Tl1 Tl 0.0000 0.0000 0.1800
Tl2 Tl 0.0000 0.0000 0.8200
Tl3 Tl 0.5000 0.5000 0.3200
Tl4 Tl 0.5000 0.5000 0.6800
Re1 Re 0.0000 0.5000 0.5000
Re2 Re 0.5000 0.0000 0.0000
Te1 Te 0.0000 0.5000 0.0000
Te2 Te 0.5000 0.0000 0.5000
```

Calculated total energy, eV per cell: -35.652
Distance to the lowest polymorph of the same formula, eV per formula unit: 0.87
ΔE_f (raw), meV/atom: 624
Calculated density, g/cm³: 11.24

---

DFT (PBE) results for Tb3Mg2Al2 after structural relaxation.

Geometry as CIF:
```
data_Tb3Mg2Al2
_chemical_formula_sum 'Tb6 Mg4 Al4'
_space_group_name_H-M_alt 'P 1'
_space_group_IT_number 1
_cell_length_a 4.4272
_cell_length_b 22.3264
_cell_length_c 3.5769
_cell_angle_alpha 90.00
_cell_angle_beta 90.00
_cell_angle_gamma 90.00
loop_
_space_group_symop_operation_xyz
'x,y,z'
loop_
_atom_site_label
_atom_site_type_symbol
_atom_site_fract_x
_atom_site_fract_y
_atom_site_fract_z
Tb1 Tb 0.0000 0.0000 0.0000
Tb2 Tb 0.0000 0.1637 0.0000
Tb3 Tb 0.0000 0.8363 0.0000
Tb4 Tb 0.5000 0.3363 0.0000
Tb5 Tb 0.5000 0.5000 0.0000
Tb6 Tb 0.5000 0.6637 0.0000
Mg1 Mg 0.0000 0.4187 0.5000
Mg2 Mg 0.0000 0.5813 0.5000
Mg3 Mg 0.5000 0.0813 0.5000
Mg4 Mg 0.5000 0.9187 0.5000
Al1 Al 0.0000 0.2819 0.5000
Al2 Al 0.0000 0.7181 0.5000
Al3 Al 0.5000 0.2181 0.5000
Al4 Al 0.5000 0.7819 0.5000
```

Calculated total energy, eV per cell: -52.734
Energy relative to the elements, eV/atom: -0.26
Calculated density, g/cm³: 5.44

---

DFT (PBE) results for FeCoSnH2 after structural relaxation.

Geometry as CIF:
```
data_FeCoSnH2
_chemical_formula_sum 'Fe1 Co1 Sn1 H2'
_space_group_name_H-M_alt 'P 1'
_space_group_IT_number 1
_cell_length_a 3.5980
_cell_length_b 3.5980
_cell_length_c 5.3706
_cell_angle_alpha 90.00
_cell_angle_beta 90.00
_cell_angle_gamma 90.00
loop_
_space_group_symop_operation_xyz
'x,y,z'
loop_
_atom_site_label
_atom_site_type_symbol
_atom_site_fract_x
_atom_site_fract_y
_atom_site_fract_z
Fe1 Fe 0.0000 0.0000 0.0000
Co1 Co 0.5000 0.5000 0.0000
Sn1 Sn 0.5000 0.5000 0.5000
H1 H 0.0000 0.5000 0.5000
H2 H 0.5000 0.0000 0.5000
```

Calculated total energy, eV per cell: -22.068
Calculated density, g/cm³: 5.62

---

DFT (PBE) results for MnP7 after structural relaxation.

Geometry as CIF:
```
data_MnP7
_chemical_formula_sum 'Mn1 P7'
_space_group_name_H-M_alt 'P 1'
_space_group_IT_number 1
_cell_length_a 5.4607
_cell_length_b 5.4607
_cell_length_c 5.4607
_cell_angle_alpha 60.00
_cell_angle_beta 60.00
_cell_angle_gamma 60.00
loop_
_space_group_symop_operation_xyz
'x,y,z'
loop_
_atom_site_label
_atom_site_type_symbol
_atom_site_fract_x
_atom_site_fract_y
_atom_site_fract_z
Mn1 Mn 0.0000 0.0000 0.0000
P1 P 0.0000 0.0000 0.5000
P2 P 0.0000 0.5000 0.0000
P3 P 0.0000 0.5000 0.5000
P4 P 0.5000 0.0000 0.0000
P5 P 0.5000 0.0000 0.5000
P6 P 0.5000 0.5000 0.0000
P7 P 0.5000 0.5000 0.5000
```

Calculated total energy, eV per cell: -41.391
Energy relative to the elements, eV/atom: 0.71
Calculated density, g/cm³: 3.92

---

DFT (PBE) results for BaSrH after structural relaxation.

Geometry as CIF:
```
data_BaSrH
_chemical_formula_sum 'Ba1 Sr1 H1'
_space_group_name_H-M_alt 'P 1'
_space_group_IT_number 1
_cell_length_a 4.3758
_cell_length_b 4.4299
_cell_length_c 5.9392
_cell_angle_alpha 90.00
_cell_angle_beta 90.00
_cell_angle_gamma 90.00
loop_
_space_group_symop_operation_xyz
'x,y,z'
loop_
_atom_site_label
_atom_site_type_symbol
_atom_site_fract_x
_atom_site_fract_y
_atom_site_fract_z
Ba1 Ba 0.0000 0.0000 0.0000
Sr1 Sr 0.5000 0.5000 0.4472
H1 H 0.0000 0.5000 0.2419
```

Calculated total energy, eV per cell: -7.587
Distance to the lowest polymorph of the same formula, eV per formula unit: 0.05
Calculated density, g/cm³: 3.26

---

DFT (PBE) results for BeVAgHg2 after structural relaxation.

Geometry as CIF:
```
data_BeVAgHg2
_chemical_formula_sum 'Be1 V1 Ag1 Hg2'
_space_group_name_H-M_alt 'P 1'
_space_group_IT_number 1
_cell_length_a 4.5694
_cell_length_b 4.5694
_cell_length_c 4.4222
_cell_angle_alpha 90.00
_cell_angle_beta 90.00
_cell_angle_gamma 90.00
loop_
_space_group_symop_operation_xyz
'x,y,z'
loop_
_atom_site_label
_atom_site_type_symbol
_atom_site_fract_x
_atom_site_fract_y
_atom_site_fract_z
Be1 Be 0.0000 0.0000 0.0000
V1 V 0.5000 0.5000 0.5000
Ag1 Ag 0.0000 0.0000 0.5000
Hg1 Hg 0.0000 0.5000 0.0000
Hg2 Hg 0.5000 0.0000 0.0000
```

Calculated total energy, eV per cell: -12.351
Energy relative to the elements, eV/atom: 0.79
Calculated density, g/cm³: 10.23

---

DFT (PBE) results for Ni2Mo4N after structural relaxation.

Geometry as CIF:
```
data_Ni2Mo4N
_chemical_formula_sum 'Ni8 Mo16 N4'
_space_group_name_H-M_alt 'P 1'
_space_group_IT_number 1
_cell_length_a 7.9714
_cell_length_b 7.9714
_cell_length_c 7.9714
_cell_angle_alpha 60.00
_cell_angle_beta 60.00
_cell_angle_gamma 60.00
loop_
_space_group_symop_operation_xyz
'x,y,z'
loop_
_atom_site_label
_atom_site_type_symbol
_atom_site_fract_x
_atom_site_fract_y
_atom_site_fract_z
Ni1 Ni 0.1285 0.7905 0.7905
Ni2 Ni 0.2095 0.2095 0.2095
Ni3 Ni 0.2095 0.2095 0.8715
Ni4 Ni 0.2095 0.8715 0.2095
Ni5 Ni 0.7905 0.1285 0.7905
Ni6 Ni 0.7905 0.7905 0.1285
Ni7 Ni 0.7905 0.7905 0.7905
Ni8 Ni 0.8715 0.2095 0.2095
Mo1 Mo 0.0000 0.0000 0.0000
Mo2 Mo 0.0000 0.0000 0.5000
Mo3 Mo 0.0000 0.5000 0.0000
Mo4 Mo 0.1800 0.1800 0.5700
Mo5 Mo 0.1800 0.5700 0.1800
Mo6 Mo 0.1800 0.5700 0.5700
Mo7 Mo 0.4300 0.4300 0.8200
Mo8 Mo 0.4300 0.8200 0.4300
Mo9 Mo 0.4300 0.8200 0.8200
Mo10 Mo 0.5000 0.0000 0.0000
Mo11 Mo 0.5700 0.1800 0.1800
Mo12 Mo 0.5700 0.1800 0.5700
Mo13 Mo 0.5700 0.5700 0.1800
Mo14 Mo 0.8200 0.4300 0.4300
Mo15 Mo 0.8200 0.4300 0.8200
Mo16 Mo 0.8200 0.8200 0.4300
N1 N 0.0000 0.5000 0.5000
N2 N 0.5000 0.0000 0.5000
N3 N 0.5000 0.5000 0.0000
N4 N 0.5000 0.5000 0.5000
```

Calculated total energy, eV per cell: -258.396
Distance to the lowest polymorph of the same formula, eV per formula unit: 0.00
ΔE_f (raw), meV/atom: -198
Calculated density, g/cm³: 9.55

---

DFT (PBE) results for La5Pr4Nd2 after structural relaxation.

Geometry as CIF:
```
data_La5Pr4Nd2
_chemical_formula_sum 'La5 Pr4 Nd2'
_space_group_name_H-M_alt 'P 1'
_space_group_IT_number 1
_cell_length_a 12.5241
_cell_length_b 12.5241
_cell_length_c 9.1330
_cell_angle_alpha 96.70
_cell_angle_beta 96.70
_cell_angle_gamma 16.37
loop_
_space_group_symop_operation_xyz
'x,y,z'
loop_
_atom_site_label
_atom_site_type_symbol
_atom_site_fract_x
_atom_site_fract_y
_atom_site_fract_z
La1 La 0.0000 0.0000 0.0000
La2 La 0.2694 0.2694 0.1746
La3 La 0.3594 0.3594 0.8887
La4 La 0.6406 0.6406 0.1113
La5 La 0.7306 0.7306 0.8254
Pr1 Pr 0.1781 0.1781 0.4722
Pr2 Pr 0.4536 0.4536 0.6374
Pr3 Pr 0.5464 0.5464 0.3626
Pr4 Pr 0.8219 0.8219 0.5278
Nd1 Nd 0.4089 0.4089 0.2700
Nd2 Nd 0.5911 0.5911 0.7300
```

Calculated total energy, eV per cell: -52.054
Energy relative to the elements, eV/atom: 0.11
Distance to the lowest polymorph of the same formula, eV per formula unit: 0.26
Calculated density, g/cm³: 6.40

---

DFT (PBE) results for PdSeN3 after structural relaxation.

Geometry as CIF:
```
data_PdSeN3
_chemical_formula_sum 'Pd1 Se1 N3'
_space_group_name_H-M_alt 'P 1'
_space_group_IT_number 1
_cell_length_a 3.7838
_cell_length_b 3.7838
_cell_length_c 3.7838
_cell_angle_alpha 90.00
_cell_angle_beta 90.00
_cell_angle_gamma 90.00
loop_
_space_group_symop_operation_xyz
'x,y,z'
loop_
_atom_site_label
_atom_site_type_symbol
_atom_site_fract_x
_atom_site_fract_y
_atom_site_fract_z
Pd1 Pd 0.0000 0.0000 0.0000
Se1 Se 0.5000 0.5000 0.5000
N1 N 0.0000 0.5000 0.5000
N2 N 0.5000 0.0000 0.5000
N3 N 0.5000 0.5000 0.0000
```

Calculated total energy, eV per cell: -22.905
ΔE_f (raw), meV/atom: 2150
Calculated density, g/cm³: 6.97

---

DFT (PBE) results for SrPd4Au2 after structural relaxation.

Geometry as CIF:
```
data_SrPd4Au2
_chemical_formula_sum 'Sr2 Pd8 Au4'
_space_group_name_H-M_alt 'P 1'
_space_group_IT_number 1
_cell_length_a 8.8407
_cell_length_b 6.9722
_cell_length_c 5.4452
_cell_angle_alpha 90.00
_cell_angle_beta 127.94
_cell_angle_gamma 90.00
loop_
_space_group_symop_operation_xyz
'x,y,z'
loop_
_atom_site_label
_atom_site_type_symbol
_atom_site_fract_x
_atom_site_fract_y
_atom_site_fract_z
Sr1 Sr 0.0000 0.0000 0.0000
Sr2 Sr 0.5000 0.5000 0.0000
Pd1 Pd 0.1980 0.1979 0.6971
Pd2 Pd 0.1980 0.8020 0.6971
Pd3 Pd 0.3020 0.3020 0.3029
Pd4 Pd 0.3020 0.6980 0.3029
Pd5 Pd 0.6980 0.3020 0.6971
Pd6 Pd 0.6980 0.6980 0.6971
Pd7 Pd 0.8020 0.1979 0.3029
Pd8 Pd 0.8020 0.8020 0.3029
Au1 Au 0.0010 0.5000 0.7509
Au2 Au 0.4990 0.0000 0.2491
Au3 Au 0.5010 0.0000 0.7509
Au4 Au 0.9990 0.5000 0.2491
```

Calculated total energy, eV per cell: -62.683
Energy relative to the elements, eV/atom: -0.33
Distance to the lowest polymorph of the same formula, eV per formula unit: 0.00
Calculated density, g/cm³: 11.38

---

DFT (PBE) results for Ac5Th3Bi8 after structural relaxation.

Geometry as CIF:
```
data_Ac5Th3Bi8
_chemical_formula_sum 'Ac5 Th3 Bi8'
_space_group_name_H-M_alt 'P 1'
_space_group_IT_number 1
_cell_length_a 9.5392
_cell_length_b 9.5392
_cell_length_c 9.5392
_cell_angle_alpha 59.85
_cell_angle_beta 59.85
_cell_angle_gamma 59.85
loop_
_space_group_symop_operation_xyz
'x,y,z'
loop_
_atom_site_label
_atom_site_type_symbol
_atom_site_fract_x
_atom_site_fract_y
_atom_site_fract_z
Ac1 Ac 0.0000 0.0000 0.0000
Ac2 Ac 0.0000 0.5000 0.5000
Ac3 Ac 0.5000 0.0000 0.5000
Ac4 Ac 0.5000 0.5000 0.0000
Ac5 Ac 0.5000 0.5000 0.5000
Th1 Th 0.0000 0.0000 0.5000
Th2 Th 0.0000 0.5000 0.0000
Th3 Th 0.5000 0.0000 0.0000
Bi1 Bi 0.2377 0.7500 0.7500
Bi2 Bi 0.2443 0.2443 0.2443
Bi3 Bi 0.2500 0.2500 0.7623
Bi4 Bi 0.2500 0.7623 0.2500
Bi5 Bi 0.7500 0.2377 0.7500
Bi6 Bi 0.7500 0.7500 0.2377
Bi7 Bi 0.7557 0.7557 0.7557
Bi8 Bi 0.7623 0.2500 0.2500
```

Calculated total energy, eV per cell: -87.234
Energy relative to the elements, eV/atom: -0.84
Calculated density, g/cm³: 9.51